Record 1
Rb2Cd4Bi3Pb | GGA-PBE | relaxed

Results
ΔE_f: -0.20 eV per atom
Space group: P-4m2, No. 115
Crystal system: tetragonal
Energy: -2.2966 eV per atom

Cell and atoms, written as extended XYZ:
```
10
Lattice="-5.1868 0.0082 0.8148 0.7667 -1.7280 4.8983 0.6563 11.7954 4.0585" Properties=species:S:1:pos:R:3 pbc="T T T"
Cd 0.0000 0.0000 0.0000
Rb 0.8791 8.0460 5.5149
Bi 0.4680 0.6578 2.9728
Rb -2.4329 2.8895 1.4002
Bi -2.0218 10.2777 3.9423
Pb -1.8819 5.0378 4.8858
Cd -2.2101 -0.8599 2.8565
Cd -2.1783 7.4653 2.9746
Cd 0.6245 3.4702 3.9404
Bi 0.3281 5.8977 2.0293
```



Record 2
BRuRh | GGA-PBE | relaxed

Results
ΔE_f: 0.06 eV per atom
Space group: P-62m, No. 189
Crystal system: hexagonal
Energy: -7.7128 eV per atom

Cell and atoms, written as extended XYZ:
```
9
Lattice="-2.7886 -0.4588 0.0020 1.0206 -6.1960 1.7153 -0.7476 4.5644 4.5805" Properties=species:S:1:pos:R:3 pbc="T T T"
Ru -1.1884 -1.4598 4.7490
Rh 0.6011 -3.6492 1.0103
B -0.9631 -2.8386 2.6714
B -1.5525 0.7482 3.6264
Rh -0.4403 2.6883 2.6978
Rh 0.1122 -0.6706 2.5878
Ru -1.1434 -1.7526 0.4227
Ru -1.5781 0.8927 1.1271
B 0.0000 0.0000 0.0000
```



Record 3
LaPu3Mn3 | GGA-PBE | relaxed

Results
ΔE_f: 0.55 eV per atom
Space group: Pm-3n, No. 223
Crystal system: cubic
Energy: -10.2243 eV per atom

Cell and atoms, written as extended XYZ:
```
14
Lattice="-4.8332 3.0519 -3.7352 2.9966 -2.2436 -5.7107 -3.7796 -5.6814 0.2487" Properties=species:S:1:pos:R:3 pbc="T T T"
La 0.0000 0.0000 0.0000
Mn -1.6674 0.9650 -3.2953
La -2.8081 -2.4365 -4.5986
Mn -0.1691 -0.1568 -6.1506
Pu 0.2900 -0.3588 -3.7891
Mn -3.0981 -2.0777 -0.8094
Mn -1.3364 -5.3828 -2.6688
Pu -2.1266 1.1671 -5.6567
Pu -1.1407 -3.4016 -1.3033
Pu -5.2513 -2.7351 -1.6810
Pu -3.3615 0.1056 -1.8054
Mn 0.5534 -2.5421 -2.7932
Mn -5.5147 -0.5518 -2.6770
Pu 0.3577 -4.5234 -4.1586
```



Record 4
RbBi2RhPb | GGA-PBE | relaxed

Results
ΔE_f: 1.21 eV per atom
Space group: P4/mmm, No. 123
Crystal system: tetragonal
Energy: -2.7511 eV per atom

Cell and atoms, written as extended XYZ:
```
5
Lattice="5.9250 0.0000 0.0000 0.0000 6.3652 0.0000 0.0000 0.0000 5.9250" Properties=species:S:1:pos:R:3 pbc="T T T"
Rh 2.9625 3.1826 2.9625
Pb 0.0000 0.0000 0.0000
Rb 0.0000 3.1826 0.0000
Bi 0.0000 0.0000 2.9625
Bi 2.9625 0.0000 0.0000
```



Record 5
RbNbFeS3 | GGA-PBE | relaxed

Results
Space group: P2_1/m, No. 11
Energy relative to the elements, uncorrected: -22.62 kcal/mol of atoms
Crystal system: monoclinic
Energy: -6.2945 eV per atom

Cell and atoms, written as extended XYZ:
```
12
Lattice="-1.2917 2.3674 2.2617 2.3258 -5.1689 6.7388 6.4545 6.3750 -2.9866" Properties=species:S:1:pos:R:3 pbc="T T T"
Nb 5.0668 5.4898 1.2555
S 3.0118 4.1219 1.5136
S 5.4763 5.4472 -1.2047
S 6.4984 3.3887 1.5338
S 4.4768 -0.5485 4.5003
Rb 5.6385 2.6194 4.5865
Fe 3.6935 -0.4455 6.6838
Nb 2.4218 -1.9164 4.7585
S 0.9902 0.1848 4.4802
Fe 3.7951 4.0190 -0.6699
Rb 1.8501 0.9540 1.4274
S 2.0123 -1.8737 7.2186
```



Record 6
Sm2Ge3AsPt4 | GGA-PBE | relaxed

Results
ΔE_f: -0.89 eV per atom
Space group: P-4m2, No. 115
Crystal system: tetragonal
Energy: -6.1037 eV per atom

Cell and atoms, written as extended XYZ:
```
10
Lattice="4.3997 0.0000 0.0000 0.0000 4.3997 0.0000 0.0000 0.0000 9.9971" Properties=species:S:1:pos:R:3 pbc="T T T"
Pt 2.1998 0.0000 6.2620
Ge 2.1998 0.0000 8.7073
Sm 0.0000 2.1998 7.5198
Pt 0.0000 0.0000 0.0000
As 2.1998 2.1998 4.9986
Ge 0.0000 2.1998 1.2898
Pt 2.1998 2.1998 0.0000
Sm 2.1998 0.0000 2.4773
Pt 0.0000 2.1998 3.7351
Ge 0.0000 0.0000 4.9986
```



Record 7
TaCu2Re | GGA-PBE | relaxed

Results
ΔE_f: 0.18 eV per atom
Space group: P2/m, No. 10
Crystal system: monoclinic
Energy relative to the lowest polymorph listed for this composition: 0.083 eV per atom
Energy: -7.9389 eV per atom

Cell and atoms, written as extended XYZ:
```
4
Lattice="-0.4255 -2.0391 -3.3817 2.1388 -1.5145 0.6441 -1.0745 -4.9618 3.1270" Properties=species:S:1:pos:R:3 pbc="T T T"
Ta 0.5855 -5.8767 1.1374
Cu 0.5688 -3.1995 1.8576
Cu 2.1022 -1.5531 0.6720
Re 0.0533 -2.6386 -0.7481
```



Record 8
Ru5W | GGA-PBE | relaxed

Results
ΔE_f: 0.72 eV per atom
Space group: P6/mmm, No. 191
Crystal system: hexagonal
Energy relative to the lowest polymorph listed for this composition: 0.752 eV per atom
Energy: -9.1723 eV per atom

Cell and atoms, written as extended XYZ:
```
6
Lattice="2.4886 -4.3104 0.0000 2.4886 4.3104 0.0000 0.0000 0.0000 4.3681" Properties=species:S:1:pos:R:3 pbc="T T T"
Ru 2.4886 -1.4368 0.0000
Ru 2.4886 0.0000 2.1841
Ru 1.2443 -2.1552 2.1841
Ru 2.4886 1.4368 0.0000
W 0.0000 0.0000 0.0000
Ru 1.2443 2.1552 2.1841
```



Record 9
MnAgPb2I | GGA-PBE | relaxed

Results
Space group: P4/mmm, No. 123
Energy relative to the elements, uncorrected: 8.92 kcal/mol of atoms
Crystal system: tetragonal
Energy: -3.8109 eV per atom

Cell and atoms, written as extended XYZ:
```
5
Lattice="5.4018 0.0000 0.0000 0.0000 5.1824 0.0000 0.0000 0.0000 5.4018" Properties=species:S:1:pos:R:3 pbc="T T T"
Pb 2.7009 0.0000 0.0000
Pb 0.0000 0.0000 2.7009
I 2.7009 2.5912 2.7009
Mn 0.0000 0.0000 0.0000
Ag 0.0000 2.5912 0.0000
```



Record 10
KTe2PbN | GGA-PBE | relaxed

Results
Space group: P4/mmm, No. 123
Energy relative to the elements, uncorrected: 25.79 kcal/mol of atoms
Crystal system: tetragonal
Energy relative to the lowest polymorph listed for this composition: 0.606 eV per atom
Energy: -2.7646 eV per atom

Cell and atoms, written as extended XYZ:
```
5
Lattice="6.1423 0.0000 0.0000 0.0000 6.1423 0.0000 0.0000 0.0000 4.8830" Properties=species:S:1:pos:R:3 pbc="T T T"
Pb 3.0711 3.0711 2.4415
Te 0.0000 3.0711 0.0000
K 0.0000 0.0000 0.0000
Te 3.0711 0.0000 0.0000
N 0.0000 0.0000 2.4415
```



Record 11
NaMn2N | GGA-PBE | relaxed

Results
Space group: I4_1/amd, No. 141
Energy relative to the elements, uncorrected: 4.34 kcal/mol of atoms
Crystal system: tetragonal
Energy: -6.8076 eV per atom

Cell and atoms, written as extended XYZ:
```
8
Lattice="-3.3136 4.5473 1.9957 -4.3684 -1.5281 -3.7712 -5.5014 -0.9887 2.0479" Properties=species:S:1:pos:R:3 pbc="T T T"
Na 0.0000 0.0000 0.0000
Mn -3.1665 1.2705 0.7905
N -3.8410 1.5096 -0.8878
Na -6.3280 2.5341 1.5779
Mn -8.0956 0.0098 -0.0698
Mn -5.3457 0.4995 -1.0982
Mn -9.7590 2.2811 0.9223
N -6.8554 -0.5036 -1.3055
```



Record 12
Hg2OF | GGA-PBE | relaxed

Results
Space group: Pnma, No. 62
Energy relative to the elements, uncorrected: -14.61 kcal/mol of atoms
Crystal system: orthorhombic
Energy: -2.4920 eV per atom

Cell and atoms, written as extended XYZ:
```
16
Lattice="4.1844 0.0000 0.0000 0.0000 8.0682 0.0000 0.0000 0.0000 9.0660" Properties=species:S:1:pos:R:3 pbc="T T T"
Hg 3.9471 7.6285 7.2528
Hg 1.8555 0.9001 4.9777
O 3.9471 5.4630 7.5073
Hg 3.9477 7.1680 4.0884
F 1.8538 3.2621 5.0132
Hg 3.9477 3.1339 0.4446
F 1.8538 7.2962 8.5859
Hg 3.9471 3.5944 6.3462
Hg 1.8549 0.4397 1.8132
F 3.9461 4.8060 4.0529
O 1.8549 2.6052 1.5587
O 1.8549 6.6393 2.9743
O 3.9471 1.4289 6.0917
Hg 1.8549 4.4737 2.7198
Hg 1.8555 4.9342 8.6214
F 3.9461 0.7719 0.4801
```



Record 13
YCo2P3 | GGA-PBE | relaxed

Results
ΔE_f: -0.41 eV per atom
Space group: P6/mmm, No. 191
Crystal system: hexagonal
Energy: -6.5638 eV per atom

Cell and atoms, written as extended XYZ:
```
6
Lattice="-1.3157 2.2051 4.5933 1.2036 -5.1184 -0.2125 3.4105 0.7769 0.6039" Properties=species:S:1:pos:R:3 pbc="T T T"
Co -0.4759 -0.2361 2.9914
P 2.3070 -2.1708 0.1957
P 1.6492 -1.0682 2.4924
Y 0.0000 0.0000 0.0000
Co 0.3638 -2.6773 1.3894
P 1.0474 1.4910 2.5986
```



Record 14
TlAs4W | GGA-PBE | relaxed

Results
ΔE_f: 0.94 eV per atom
Space group: F-43m, No. 216
Crystal system: cubic
Energy: -4.7090 eV per atom

Cell and atoms, written as extended XYZ:
```
6
Lattice="0.0000 3.9262 3.9262 3.9262 0.0000 3.9262 3.9262 3.9262 0.0000" Properties=species:S:1:pos:R:3 pbc="T T T"
As 4.9266 2.9258 4.9266
W 0.0000 0.0000 0.0000
As 2.9258 4.9266 4.9266
Tl 5.8893 5.8893 5.8893
As 2.9258 2.9258 2.9258
As 4.9266 4.9266 2.9258
```



Record 15
Cs4K2InAs2 | GGA-PBE | relaxed

Results
ΔE_f: -0.20 eV per atom
Space group: C2/m, No. 12
Crystal system: monoclinic
Energy: -2.1587 eV per atom

Cell and atoms, written as extended XYZ:
```
9
Lattice="5.5011 0.9049 0.6157 2.2491 10.9631 -1.3099 2.2491 2.8070 10.6783" Properties=species:S:1:pos:R:3 pbc="T T T"
In 2.7505 0.4525 0.3078
K 3.1623 8.6035 5.8533
Cs 2.5224 2.1834 7.4267
Cs 7.4770 6.9652 10.6800
As 2.4475 2.5131 1.7098
Cs 2.5224 7.7097 -0.6960
K 6.8371 6.0715 4.1307
As 7.5518 12.1618 8.2742
Cs 7.4770 12.4915 2.5573
```



Record 16
CdTe2 | GGA-PBE | relaxed

Results
Space group: P6_3/mmc, No. 194
Energy relative to the elements, uncorrected: -3.32 kcal/mol of atoms
Crystal system: hexagonal
Energy: -2.5433 eV per atom

Cell and atoms, written as extended XYZ:
```
6
Lattice="2.3332 -4.0413 0.0000 2.3332 4.0413 0.0000 0.0000 0.0000 11.3346" Properties=species:S:1:pos:R:3 pbc="T T T"
Cd 0.0000 0.0000 5.6673
Cd 0.0000 0.0000 0.0000
Te 2.3332 1.3471 9.9112
Te 2.3332 1.3471 7.0907
Te 2.3332 -1.3471 1.4234
Te 2.3332 -1.3471 4.2439
```



Record 17
TlZnRu | GGA-PBE | relaxed

Results
ΔE_f: 0.41 eV per atom
Space group: P3m1, No. 156
Crystal system: trigonal
Energy relative to the lowest polymorph listed for this composition: 0.079 eV per atom
Energy: -3.8995 eV per atom

Cell and atoms, written as extended XYZ:
```
3
Lattice="-1.5839 -4.0194 -0.4428 4.1800 0.7948 -0.8696 0.7717 -0.6475 3.1176" Properties=species:S:1:pos:R:3 pbc="T T T"
Ru 0.6422 -0.5388 2.5944
Zn 2.9031 -1.3506 1.8759
Tl 0.5943 -2.6302 0.4527
```



Record 18
ZnCrRe2 | GGA-PBE | relaxed

Results
ΔE_f: 0.22 eV per atom
Space group: Pmm2, No. 25
Crystal system: orthorhombic
Energy: -8.7278 eV per atom

Cell and atoms, written as extended XYZ:
```
4
Lattice="-2.6463 -0.3070 -0.4617 -0.5279 -1.1200 3.7706 -0.8152 4.9756 1.3638" Properties=species:S:1:pos:R:3 pbc="T T T"
Re -1.7870 0.5066 1.9889
Zn -0.4141 2.5274 0.6927
Cr -2.1954 2.9991 2.6721
Re -0.0005 0.0032 0.0009
```



Record 19
VGe2P | GGA-PBE | relaxed

Results
ΔE_f: 0.46 eV per atom
Space group: I-42d, No. 122
Crystal system: tetragonal
Energy: -5.4779 eV per atom

Cell and atoms, written as extended XYZ:
```
8
Lattice="6.1583 0.0000 0.0000 0.0000 6.1583 0.0000 3.0792 3.0792 4.4831" Properties=species:S:1:pos:R:3 pbc="T T T"
V 6.1583 3.0792 2.2416
Ge 7.6979 7.5406 3.3624
Ge 4.4615 1.5396 1.1208
Ge 4.6187 4.7760 3.3624
P 3.0792 6.1583 2.2416
V 0.0000 0.0000 0.0000
Ge 1.6968 4.6187 1.1208
P 3.0792 3.0792 0.0000
```



Record 20
Nd6NiI12 | GGA-PBE | relaxed

Results
Space group: R-3m, No. 166
Energy relative to the elements, uncorrected: -23.42 kcal/mol of atoms
Crystal system: trigonal
Energy: -3.8046 eV per atom

Cell and atoms, written as extended XYZ:
```
19
Lattice="9.0224 0.3271 1.9598 1.6474 8.8767 1.9598 0.3792 0.3271 9.2250" Properties=species:S:1:pos:R:3 pbc="T T T"
Nd 8.3703 7.2203 4.7780
I 5.6514 8.3623 10.8273
I 5.9532 5.1353 3.7663
I 5.4739 1.9040 6.5122
Nd 7.6216 2.1728 9.0672
I 1.3547 1.1686 5.7156
Nd 7.7814 2.3106 4.0774
Ni 0.0000 0.0000 0.0000
I 5.0956 4.3955 9.3783
I 5.3975 1.1685 2.3173
I 1.9479 5.1677 2.3173
I 8.3624 4.3956 6.6324
I 2.6865 5.1353 6.5122
I 5.5749 7.6269 6.6324
Nd 3.2675 7.2203 9.0672
Nd 2.6786 2.3106 8.3666
I 9.6942 8.3623 7.4290
I 9.1010 4.3632 10.8273
Nd 3.4273 7.3581 4.0774
```



Record 21
SrIn2Au | GGA-PBE | relaxed

Results
ΔE_f: -0.36 eV per atom
Space group: Pmmm, No. 47
Crystal system: orthorhombic
Energy: -2.9707 eV per atom

Cell and atoms, written as extended XYZ:
```
4
Lattice="4.4401 0.0000 0.0000 0.0000 4.7076 0.0000 0.0000 0.0000 5.1074" Properties=species:S:1:pos:R:3 pbc="T T T"
Au 0.0000 2.3538 2.5537
In 2.2201 2.3538 0.0000
Sr 2.2201 0.0000 2.5537
In 0.0000 0.0000 0.0000
```



Record 22
Rb2MgZnF6 | GGA-PBE | relaxed

Results
Space group: Fm-3m, No. 225
Energy relative to the elements, uncorrected: -66.82 kcal/mol of atoms
Crystal system: cubic
Energy: -4.5007 eV per atom

Cell and atoms, written as extended XYZ:
```
10
Lattice="-5.5047 0.6930 -1.9352 -0.2611 -5.7228 -1.3068 -4.3239 -3.3194 2.1898" Properties=species:S:1:pos:R:3 pbc="T T T"
F -3.5952 -2.9126 0.2628
Rb -3.7339 -5.7786 -0.3690
F -1.4584 -1.2723 -0.8201
Rb -6.3557 -2.5706 -0.6832
F -6.4944 -5.4366 -1.3151
Mg -2.8829 -2.5149 -1.6210
F -1.5874 -4.1000 -1.4658
F -4.3074 -3.7575 -2.4220
Zn 0.0000 0.0000 0.0000
F -4.1783 -0.9298 -1.7763
```



Record 23
Ba4Se2ClO2 | GGA-PBE | relaxed

Results
Space group: C2/m, No. 12
Energy relative to the elements, uncorrected: -49.61 kcal/mol of atoms
Crystal system: monoclinic
Energy: -5.0871 eV per atom

Cell and atoms, written as extended XYZ:
```
9
Lattice="4.4432 0.0000 0.0000 0.0000 8.7820 -0.3279 -2.2216 -3.7650 7.7754" Properties=species:S:1:pos:R:3 pbc="T T T"
Ba 0.0000 -1.4318 7.3599
Cl 0.0000 0.0000 0.0000
O 0.0000 -2.3517 5.0748
Se 0.0000 4.1418 1.3787
Ba 2.2216 6.4487 0.0876
Se 2.2216 0.8752 6.0688
Ba 2.2216 5.3480 3.9293
Ba 0.0000 -0.3311 3.5182
O 2.2216 7.3687 2.3727
```



Record 24
IBr2 | GGA-PBE | relaxed

Results
Space group: C2/c, No. 15
Energy relative to the elements, uncorrected: 0.40 kcal/mol of atoms
Crystal system: monoclinic
Energy relative to the lowest polymorph listed for this composition: 0.000 eV per atom
Energy: -1.6146 eV per atom

Cell and atoms, written as extended XYZ:
```
6
Lattice="5.4428 1.2917 -2.2778 -2.1502 5.4234 -1.5634 0.1975 -0.1803 9.0554" Properties=species:S:1:pos:R:3 pbc="T T T"
Br 1.8018 1.7703 4.5592
Br -0.9058 4.0869 6.2882
I -0.7527 5.6756 0.1457
I 4.2428 0.8592 5.0685
Br 1.6883 4.7645 0.6550
Br 4.3958 2.4479 -1.0740
```